1.
The following is a PBE-GGA calculation of crystalline DyHfRh2 at its relaxed geometry, from Alexandria.

Unit cell a=3.3148 b=3.3148 c=6.8522 alpha=90.00 beta=90.00 gamma=90.00
Space group P4/mmm (No. 123)
Asymmetric unit:
Dy (0.0000, 0.0000, 0.0000)
Hf (0.0000, 0.0000, 0.5000)
Rh (0.5000, 0.5000, 0.2761)

---

2.
The following is a PBE-GGA calculation of crystalline Dy2HfRh3 at its relaxed geometry, from Alexandria.

Unit cell a=4.7434 b=4.7434 c=5.9060 alpha=90.00 beta=90.00 gamma=120.00
Space group P-3m1 (No. 164)
Asymmetric unit:
Dy (0.3333, 0.6667, 0.1660)
Hf (0.0000, 0.0000, 0.5000)
Rh (0.0000, 0.0000, 0.0000)
Rh (0.3333, 0.6667, 0.6428)

---

3.
The following is a PBE-GGA calculation of crystalline DyHfRh4 at its relaxed geometry, from Alexandria.

offset from the most stable computed form	278	meV per atom

Unit cell a=3.1370 b=4.5489 c=7.7739 alpha=90.00 beta=90.00 gamma=90.00
Space group Pmmm (No. 47)
Asymmetric unit:
Dy (0.0000, 0.0000, 0.0000)
Hf (0.5000, 0.5000, 0.5000)
Rh (0.0000, 0.5000, 0.2287)
Rh (0.5000, 0.0000, 0.3028)

---

Formation energy across the listed records, respectively: -0.90, -0.86, -0.37 eV per atom.